[1]
{"formula": "Ni2Rh", "functional": "GGA-PBE", "state": "optimized geometry", "m_tot_mub_per_fu": 2.23, "ef_ev_per_atom": 0.05, "crystal_system": "monoclinic", "lattice": [[4.710, -1.313, 0.000], [4.710, 1.313, 0.000], [-1.710, 0.000, 5.940]], "species": ["Ni", "Ni", "Ni", "Ni", "Rh", "Rh"], "fractional_positions": [[0.029, 0.029, 0.291], [0.361, 0.361, 0.973], [0.639, 0.639, 0.027], [0.971, 0.971, 0.709], [0.312, 0.312, 0.360], [0.688, 0.688, 0.640]]}

---

[2]
{"formula": "Ni3Rh", "functional": "GGA-PBE", "state": "optimized geometry", "m_tot_mub_per_fu": 3.13, "ef_ev_per_atom": 0.11, "crystal_system": "tetragonal", "lattice": [[2.979, 0.000, 0.000], [0.000, 2.979, 0.000], [0.000, 0.000, 5.398]], "species": ["Ni", "Ni", "Ni", "Rh"], "fractional_positions": [[0.000, 0.000, 0.000], [0.500, 0.500, 0.228], [0.500, 0.500, 0.772], [0.000, 0.000, 0.500]]}

---

[3]
{"formula": "Ni2Rh3", "functional": "GGA-PBE", "state": "optimized geometry", "relative_energy_mev_per_atom": 0, "m_tot_mub_per_fu": 1.10, "ef_ev_per_atom": 0.04, "crystal_system": "monoclinic", "lattice": [[4.137, -1.863, 0.000], [4.137, 1.863, 0.000], [-4.071, 0.000, 4.219]], "species": ["Ni", "Ni", "Rh", "Rh", "Rh"], "fractional_positions": [[0.102, 0.102, 0.300], [0.898, 0.898, 0.700], [0.301, 0.301, 0.896], [0.500, 0.500, 0.500], [0.699, 0.699, 0.104]]}

---

[4]
{"formula": "NiRh4", "functional": "GGA-PBE", "state": "optimized geometry", "relative_energy_mev_per_atom": 497, "m_tot_mub_per_fu": 0.83, "ef_ev_per_atom": 0.52, "crystal_system": "tetragonal", "lattice": [[-1.769, 1.769, 6.220], [1.769, -1.769, 6.220], [1.769, 1.769, -6.220]], "species": ["Ni", "Rh", "Rh", "Rh", "Rh"], "fractional_positions": [[0.000, 0.000, 0.000], [0.250, 0.750, 0.500], [0.404, 0.404, 0.000], [0.596, 0.596, 0.000], [0.750, 0.250, 0.500]]}

---

[5]
{"formula": "NiRh5", "functional": "GGA-PBE", "state": "optimized geometry", "m_tot_mub_per_fu": 0.00, "ef_ev_per_atom": 0.04, "crystal_system": "orthorhombic", "lattice": [[3.790, 0.000, 0.000], [0.000, 8.084, 0.000], [0.000, 0.000, 5.393]], "species": ["Ni", "Ni", "Rh", "Rh", "Rh", "Rh", "Rh", "Rh", "Rh", "Rh", "Rh", "Rh"], "fractional_positions": [[0.250, 0.250, 0.127], [0.750, 0.750, 0.873], [0.250, 0.250, 0.624], [0.250, 0.584, 0.627], [0.250, 0.585, 0.122], [0.250, 0.915, 0.122], [0.250, 0.916, 0.627], [0.750, 0.084, 0.373], [0.750, 0.085, 0.878], [0.750, 0.415, 0.878], [0.750, 0.416, 0.373], [0.750, 0.750, 0.376]]}

---

[6]
{"formula": "Ni2Rh7", "functional": "GGA-PBE", "state": "optimized geometry", "m_tot_mub_per_fu": 2.09, "ef_ev_per_atom": 0.05, "crystal_system": "trigonal", "lattice": [[4.657, 0.000, 0.000], [-2.329, 4.033, 0.000], [0.000, 0.000, 6.535]], "species": ["Ni", "Ni", "Rh", "Rh", "Rh", "Rh", "Rh", "Rh", "Rh"], "fractional_positions": [[0.333, 0.667, 0.000], [0.667, 0.333, 0.000], [0.000, 0.000, 0.000], [0.000, 0.334, 0.671], [0.000, 0.666, 0.329], [0.334, 0.000, 0.671], [0.334, 0.334, 0.329], [0.666, 0.000, 0.329], [0.666, 0.666, 0.671]]}

---

[7]
{"formula": "NiRh", "functional": "GGA-PBE", "state": "optimized geometry", "m_tot_mub_per_fu": 1.11, "ef_ev_per_atom": 0.04, "crystal_system": "monoclinic", "lattice": [[2.268, -3.926, 0.000], [2.268, 3.926, 0.000], [-1.470, 0.000, 4.303]], "species": ["Ni", "Ni", "Ni", "Rh", "Rh", "Rh"], "fractional_positions": [[0.000, 0.000, 0.000], [0.335, 0.665, 0.000], [0.836, 0.164, 0.500], [0.167, 0.833, 0.500], [0.499, 0.501, 0.500], [0.672, 0.328, 0.000]]}

---

[8]
{"formula": "NiRh", "functional": "GGA-PBE", "state": "optimized geometry", "m_tot_mub_per_fu": 0.87, "ef_ev_per_atom": 0.55, "crystal_system": "tetragonal", "lattice": [[4.797, 0.000, 0.000], [0.000, 4.797, 0.000], [0.000, 0.000, 4.904]], "species": ["Ni", "Ni", "Ni", "Ni", "Rh", "Rh", "Rh", "Rh"], "fractional_positions": [[0.182, 0.182, 0.000], [0.318, 0.682, 0.500], [0.682, 0.318, 0.500], [0.818, 0.818, 0.000], [0.189, 0.189, 0.500], [0.311, 0.689, 0.000], [0.689, 0.311, 0.000], [0.811, 0.811, 0.500]]}

---

[9]
{"formula": "NiRh", "functional": "GGA-PBE", "state": "optimized geometry", "m_tot_mub_per_fu": 2.03, "ef_ev_per_atom": 1.15, "crystal_system": "cubic", "lattice": [[0.000, 2.670, 2.670], [2.670, 0.000, 2.670], [2.670, 2.670, 0.000]], "species": ["Ni", "Rh"], "fractional_positions": [[0.000, 0.000, 0.000], [0.750, 0.750, 0.750]]}

---

[10]
{"formula": "NiRh", "functional": "GGA-PBE", "state": "optimized geometry", "m_tot_mub_per_fu": 1.19, "ef_ev_per_atom": 0.06, "crystal_system": "trigonal", "lattice": [[1.327, 0.766, 4.214], [-1.327, 0.766, 4.214], [0.000, -1.533, 4.214]], "species": ["Ni", "Rh"], "fractional_positions": [[0.000, 0.000, 0.000], [0.500, 0.500, 0.500]]}

---

[11]
{"formula": "NiRh", "functional": "GGA-PBE", "state": "optimized geometry", "m_tot_mub_per_fu": 1.42, "ef_ev_per_atom": 0.06, "crystal_system": "monoclinic", "lattice": [[4.769, -1.338, 0.000], [4.769, 1.338, 0.000], [-2.041, 0.000, 4.025]], "species": ["Ni", "Ni", "Rh", "Rh"], "fractional_positions": [[0.129, 0.129, 0.298], [0.871, 0.871, 0.702], [0.377, 0.377, 0.205], [0.623, 0.623, 0.795]]}

---

[12]
{"formula": "NiRh", "functional": "GGA-PBE", "state": "optimized geometry", "m_tot_mub_per_fu": 0.65, "ef_ev_per_atom": 0.10, "crystal_system": "trigonal", "lattice": [[1.330, 0.768, 8.374], [-1.330, 0.768, 8.374], [0.000, -1.536, 8.374]], "species": ["Ni", "Ni", "Rh", "Rh"], "fractional_positions": [[0.128, 0.128, 0.128], [0.872, 0.872, 0.872], [0.378, 0.378, 0.378], [0.622, 0.622, 0.622]]}

---

[13]
{"formula": "NiRh", "functional": "GGA-PBE", "state": "optimized geometry", "m_tot_mub_per_fu": 1.06, "ef_ev_per_atom": 0.06, "crystal_system": "monoclinic", "lattice": [[6.749, -1.329, 0.000], [6.749, 1.329, 0.000], [-1.520, 0.000, 4.290]], "species": ["Ni", "Ni", "Ni", "Rh", "Rh", "Rh"], "fractional_positions": [[0.000, 0.000, 0.000], [0.161, 0.161, 0.492], [0.501, 0.501, 0.493], [0.334, 0.334, 0.995], [0.661, 0.661, 0.992], [0.834, 0.834, 0.499]]}

---

[14]
{"formula": "NiRh", "functional": "GGA-PBE", "state": "optimized geometry", "m_tot_mub_per_fu": 0.80, "ef_ev_per_atom": 0.06, "crystal_system": "orthorhombic", "lattice": [[2.660, 0.000, 0.000], [0.000, 3.683, 0.000], [0.000, 0.000, 7.813]], "species": ["Ni", "Ni", "Ni", "Rh", "Rh", "Rh"], "fractional_positions": [[0.000, 0.000, 0.000], [0.500, 0.500, 0.156], [0.500, 0.500, 0.844], [0.000, 0.000, 0.320], [0.000, 0.000, 0.680], [0.500, 0.500, 0.500]]}

---

[15]
{"formula": "Ni2Rh3", "functional": "GGA-PBE", "state": "optimized geometry", "relative_energy_mev_per_atom": 125, "m_tot_mub_per_fu": 0.00, "ef_ev_per_atom": 0.16, "crystal_system": "trigonal", "lattice": [[2.097, 1.211, 4.285], [-2.097, 1.211, 4.285], [0.000, -2.422, 4.285]], "species": ["Ni", "Ni", "Rh", "Rh", "Rh"], "fractional_positions": [[0.093, 0.093, 0.093], [0.907, 0.907, 0.907], [0.288, 0.288, 0.288], [0.500, 0.500, 0.500], [0.712, 0.712, 0.712]]}

---

[16]
{"formula": "Ni3Rh", "functional": "GGA-PBE", "state": "optimized geometry", "m_tot_mub_per_fu": 2.97, "ef_ev_per_atom": 0.08, "crystal_system": "hexagonal", "lattice": [[2.604, 0.000, 0.000], [-1.302, 2.255, 0.000], [0.000, 0.000, 8.207]], "species": ["Ni", "Ni", "Ni", "Rh"], "fractional_positions": [[0.000, 0.000, 0.000], [0.667, 0.333, 0.241], [0.667, 0.333, 0.759], [0.000, 0.000, 0.500]]}

---

[17]
{"formula": "Ni3Rh4", "functional": "GGA-PBE", "state": "optimized geometry", "relative_energy_mev_per_atom": 0, "m_tot_mub_per_fu": 3.15, "ef_ev_per_atom": 0.04, "crystal_system": "monoclinic", "lattice": [[4.193, -1.858, 0.000], [4.193, 1.858, 0.000], [-0.809, 0.000, 5.829]], "species": ["Ni", "Ni", "Ni", "Rh", "Rh", "Rh", "Rh"], "fractional_positions": [[0.000, 0.000, 0.000], [0.572, 0.572, 0.728], [0.712, 0.712, 0.145], [0.141, 0.141, 0.430], [0.284, 0.284, 0.868], [0.429, 0.429, 0.285], [0.858, 0.858, 0.578]]}

---

[18]
{"formula": "Ni2Rh3", "functional": "GGA-PBE", "state": "optimized geometry", "relative_energy_mev_per_atom": 19, "m_tot_mub_per_fu": 0.03, "ef_ev_per_atom": 0.06, "crystal_system": "tetragonal", "lattice": [[-1.345, 1.345, 8.970], [1.345, -1.345, 8.970], [1.345, 1.345, -8.970]], "species": ["Ni", "Ni", "Rh", "Rh", "Rh"], "fractional_positions": [[0.098, 0.098, 0.000], [0.902, 0.902, 0.000], [0.304, 0.304, 0.000], [0.500, 0.500, 0.000], [0.696, 0.696, 0.000]]}

---

[19]
{"formula": "Ni3Rh4", "functional": "GGA-PBE", "state": "optimized geometry", "relative_energy_mev_per_atom": 121, "m_tot_mub_per_fu": 0.00, "ef_ev_per_atom": 0.16, "crystal_system": "tetragonal", "lattice": [[-1.575, 1.575, 9.223], [1.575, -1.575, 9.223], [1.575, 1.575, -9.223]], "species": ["Ni", "Ni", "Ni", "Rh", "Rh", "Rh", "Rh"], "fractional_positions": [[0.000, 0.000, 0.000], [0.283, 0.283, 0.000], [0.717, 0.717, 0.000], [0.147, 0.147, 0.000], [0.429, 0.429, 0.000], [0.571, 0.571, 0.000], [0.853, 0.853, 0.000]]}

---

[20]
{"formula": "NiRh", "functional": "GGA-PBE", "state": "optimized geometry", "m_tot_mub_per_fu": 0.44, "ef_ev_per_atom": 0.04, "crystal_system": "monoclinic", "lattice": [[4.353, -1.338, 0.000], [4.353, 1.338, 0.000], [-0.859, 0.000, 4.350]], "species": ["Ni", "Ni", "Rh", "Rh"], "fractional_positions": [[0.127, 0.127, 0.380], [0.873, 0.873, 0.620], [0.377, 0.377, 0.128], [0.623, 0.623, 0.872]]}